Record 1
Here is an optimized crystal structure of LaZnBr from the Alexandria database. Energies are from GGA-PBE.

Results
Formation energy from raw total energies ... -0.522 eV/atom

Structure (CIF):
```
data_LaZnBr
_symmetry_space_group_name_H-M 'P 1'
_symmetry_Int_Tables_number 1
_symmetry_space_group_name_Hall 'P 1'
_cell_length_a 4.987
_cell_length_b 4.987
_cell_length_c 4.987
_cell_angle_alpha 60.00
_cell_angle_beta 60.00
_cell_angle_gamma 60.00
loop_
_atom_site_label
_atom_site_type_symbol
_atom_site_fract_x
_atom_site_fract_y
_atom_site_fract_z
_atom_site_occupancy
Zn1 Zn 0.500 0.500 0.500 1
Br1 Br 0.750 0.750 0.750 1
La1 La 0.000 0.000 0.000 1
```

***

Record 2
Here is an optimized crystal structure of CsLa2V from the Alexandria database. Energies are from GGA-PBE.

Results
Energy relative to the elements ... 0.79 eV per atom

Structure (CIF):
```
data_CsLa2V
_symmetry_space_group_name_H-M 'P 1'
_symmetry_Int_Tables_number 1
_symmetry_space_group_name_Hall 'P 1'
_cell_length_a 8.212
_cell_length_b 8.212
_cell_length_c 7.812
_cell_angle_alpha 58.29
_cell_angle_beta 58.29
_cell_angle_gamma 90.00
loop_
_atom_site_label
_atom_site_type_symbol
_atom_site_fract_x
_atom_site_fract_y
_atom_site_fract_z
_atom_site_occupancy
Cs1 Cs 0.750 0.250 0.500 1
La1 La 0.375 0.553 0.750 1
La2 La 0.875 0.697 0.750 1
V1 V 0.250 0.750 0.500 1
V2 V 0.500 0.500 0.000 1
La3 La 0.303 0.625 0.250 1
Cs2 Cs 0.000 0.000 0.000 1
La4 La 0.447 0.125 0.250 1
```

***

Record 3
Here is an optimized crystal structure of Ho4ErTh4 from the Alexandria database. Energies are from GGA-PBE.

Results
Energy relative to the elements ... 0.04 eV per atom

Structure (CIF):
```
data_Ho4ErTh4
_symmetry_space_group_name_H-M 'P 1'
_symmetry_Int_Tables_number 1
_symmetry_space_group_name_Hall 'P 1'
_cell_length_a 5.033
_cell_length_b 7.933
_cell_length_c 7.933
_cell_angle_alpha 84.23
_cell_angle_beta 71.51
_cell_angle_gamma 71.51
loop_
_atom_site_label
_atom_site_type_symbol
_atom_site_fract_x
_atom_site_fract_y
_atom_site_fract_z
_atom_site_occupancy
Ho1 Ho 0.000 0.329 0.671 1
Th1 Th 0.334 0.000 0.331 1
Ho2 Ho 0.329 0.671 0.671 1
Ho3 Ho 0.671 0.329 0.329 1
Th2 Th 0.666 0.669 0.000 1
Er1 Er 0.000 0.000 0.000 1
Th3 Th 0.666 0.000 0.669 1
Ho4 Ho 0.000 0.671 0.329 1
Th4 Th 0.334 0.331 0.000 1
```

***

Record 4
Here is an optimized crystal structure of ScIn2Ir from the Alexandria database. Energies are from GGA-PBE.

Results
Energy relative to the elements ... -0.33 eV per atom

Structure (CIF):
```
data_ScIn2Ir
_symmetry_space_group_name_H-M 'P 1'
_symmetry_Int_Tables_number 1
_symmetry_space_group_name_Hall 'P 1'
_cell_length_a 4.745
_cell_length_b 4.745
_cell_length_c 4.745
_cell_angle_alpha 60.00
_cell_angle_beta 60.00
_cell_angle_gamma 60.00
loop_
_atom_site_label
_atom_site_type_symbol
_atom_site_fract_x
_atom_site_fract_y
_atom_site_fract_z
_atom_site_occupancy
In1 In 0.250 0.250 0.250 1
Ir1 Ir 0.500 0.500 0.500 1
Sc1 Sc 0.000 0.000 0.000 1
In2 In 0.750 0.750 0.750 1
```

***

What did the fourth record say?
Here is an optimized crystal structure of ScIn2Ir from the Alexandria database. Energies are from GGA-PBE.

Results
Energy relative to the elements ... -0.33 eV per atom

Structure (CIF):
```
data_ScIn2Ir
_symmetry_space_group_name_H-M 'P 1'
_symmetry_Int_Tables_number 1
_symmetry_space_group_name_Hall 'P 1'
_cell_length_a 4.745
_cell_length_b 4.745
_cell_length_c 4.745
_cell_angle_alpha 60.00
_cell_angle_beta 60.00
_cell_angle_gamma 60.00
loop_
_atom_site_label
_atom_site_type_symbol
_atom_site_fract_x
_atom_site_fract_y
_atom_site_fract_z
_atom_site_occupancy
In1 In 0.250 0.250 0.250 1
Ir1 Ir 0.500 0.500 0.500 1
Sc1 Sc 0.000 0.000 0.000 1
In2 In 0.750 0.750 0.750 1
```

***

Repeat the fourth record exactly.
Here is an optimized crystal structure of ScIn2Ir from the Alexandria database. Energies are from GGA-PBE.

Results
Energy relative to the elements ... -0.33 eV per atom

Structure (CIF):
```
data_ScIn2Ir
_symmetry_space_group_name_H-M 'P 1'
_symmetry_Int_Tables_number 1
_symmetry_space_group_name_Hall 'P 1'
_cell_length_a 4.745
_cell_length_b 4.745
_cell_length_c 4.745
_cell_angle_alpha 60.00
_cell_angle_beta 60.00
_cell_angle_gamma 60.00
loop_
_atom_site_label
_atom_site_type_symbol
_atom_site_fract_x
_atom_site_fract_y
_atom_site_fract_z
_atom_site_occupancy
In1 In 0.250 0.250 0.250 1
Ir1 Ir 0.500 0.500 0.500 1
Sc1 Sc 0.000 0.000 0.000 1
In2 In 0.750 0.750 0.750 1
```